# 1
{"formula": "Tl2CuSn", "functional": "PBE", "state": "relaxed", "lattice_angstrom": [[-2.170, 2.170, 11.114], [2.170, -2.170, 11.114], [2.170, 2.170, -11.114]], "species": ["Tl", "Tl", "Tl", "Tl", "Cu", "Cu", "Sn", "Sn"], "frac_coords": [[0.116, 0.625, 0.991], [0.375, 0.366, 0.491], [0.634, 0.125, 0.009], [0.875, 0.884, 0.509], [0.000, 0.000, 0.000], [0.750, 0.250, 0.500], [0.250, 0.750, 0.500], [0.500, 0.500, 0.000]], "spacegroup": "No. 122", "n_ef_per_ev_fu": 2.0, "formation_energy_ev_per_fu": 1.30, "total_magnetization_mub_per_fu": 0.00}



# 2
{"formula": "TmTlPb2", "functional": "PBE", "state": "relaxed", "lattice_angstrom": [[-2.336, 2.384, 5.066], [2.336, -2.384, 5.066], [2.336, 2.384, -5.066]], "species": ["Tm", "Tl", "Pb", "Pb"], "frac_coords": [[0.000, 0.000, 0.000], [0.500, 0.500, 0.000], [0.249, 0.749, 0.500], [0.751, 0.251, 0.500]], "spacegroup": "No. 71", "n_ef_per_ev_fu": 2.0, "formation_energy_ev_per_fu": -0.77, "total_magnetization_mub_per_fu": 0.00}



# 3
{"formula": "Ti8Ni2Sn", "functional": "PBE", "state": "relaxed", "lattice_angstrom": [[3.682, -5.918, 0.000], [3.682, 5.918, 0.000], [-1.295, 0.000, 4.281]], "species": ["Ti", "Ti", "Ti", "Ti", "Ti", "Ti", "Ti", "Ti", "Ni", "Ni", "Sn"], "frac_coords": [[0.086, 0.322, 0.588], [0.242, 0.758, 0.000], [0.322, 0.086, 0.588], [0.404, 0.404, 0.192], [0.596, 0.596, 0.808], [0.678, 0.914, 0.412], [0.758, 0.242, 0.000], [0.914, 0.678, 0.412], [0.309, 0.691, 0.500], [0.691, 0.309, 0.500], [0.000, 0.000, 0.000]], "spacegroup": "No. 12", "n_ef_per_ev_fu": 12.8, "formation_energy_ev_per_fu": -1.31, "total_magnetization_mub_per_fu": 0.00}



# 4
{"formula": "CaNd4Ag5", "functional": "PBE", "state": "relaxed", "lattice_angstrom": [[3.718, 0.000, 0.000], [0.000, 3.718, 0.000], [0.000, 0.000, 19.057]], "species": ["Ca", "Nd", "Nd", "Nd", "Nd", "Ag", "Ag", "Ag", "Ag", "Ag"], "frac_coords": [[0.000, 0.000, 0.000], [0.000, 0.000, 0.198], [0.000, 0.000, 0.400], [0.000, 0.000, 0.600], [0.000, 0.000, 0.802], [0.500, 0.500, 0.101], [0.500, 0.500, 0.299], [0.500, 0.500, 0.500], [0.500, 0.500, 0.701], [0.500, 0.500, 0.899]], "spacegroup": "No. 123", "n_ef_per_ev_fu": 8.3, "formation_energy_ev_per_fu": -2.69, "total_magnetization_mub_per_fu": 0.00}



# 5
{"formula": "SbRh4Cl", "functional": "PBE", "state": "relaxed", "lattice_angstrom": [[0.000, 3.734, 3.734], [3.734, 0.000, 3.734], [3.734, 3.734, 0.000]], "species": ["Sb", "Rh", "Rh", "Rh", "Rh", "Cl"], "frac_coords": [[0.000, 0.000, 0.000], [0.375, 0.375, 0.375], [0.375, 0.375, 0.876], [0.375, 0.876, 0.375], [0.876, 0.375, 0.375], [0.750, 0.750, 0.750]], "formation_energy_uncorrected_ev_per_fu": 2.9, "spacegroup": "No. 216", "n_ef_per_ev_fu": 10.8, "total_magnetization_mub_per_fu": 2.03}



# 6
{"formula": "BaPuUN3", "functional": "PBE", "state": "relaxed", "lattice_angstrom": [[6.163, 0.000, 0.000], [0.000, 3.627, 0.000], [-2.034, 0.000, 9.261]], "species": ["Ba", "Ba", "Pu", "Pu", "U", "U", "N", "N", "N", "N", "N", "N"], "frac_coords": [[0.153, 0.250, 0.192], [0.847, 0.750, 0.808], [0.366, 0.250, 0.850], [0.634, 0.750, 0.150], [0.264, 0.750, 0.543], [0.736, 0.250, 0.457], [0.050, 0.250, 0.622], [0.305, 0.750, 0.980], [0.470, 0.750, 0.376], [0.530, 0.250, 0.624], [0.695, 0.250, 0.020], [0.950, 0.750, 0.378]], "formation_energy_uncorrected_ev_per_fu": -6.4, "spacegroup": "No. 11", "n_ef_per_ev_fu": 8.0, "total_magnetization_mub_per_fu": 7.00}



# 7
{"formula": "NiOsCl2", "functional": "PBE", "state": "relaxed", "lattice_angstrom": [[2.831, 0.000, 0.000], [0.000, 4.002, 0.000], [0.000, 0.000, 5.512]], "species": ["Ni", "Os", "Cl", "Cl"], "frac_coords": [[0.000, 0.000, 0.000], [0.500, 0.000, 0.500], [0.000, 0.500, 0.500], [0.500, 0.500, 0.000]], "formation_energy_uncorrected_ev_per_fu": 3.5, "spacegroup": "No. 47", "n_ef_per_ev_fu": 2.7, "total_magnetization_mub_per_fu": 0.00}



# 8
{"formula": "CrCoTc2", "functional": "PBE", "state": "relaxed", "lattice_angstrom": [[2.655, 0.000, 0.000], [0.000, 3.683, 0.000], [0.000, 0.000, 5.286]], "species": ["Cr", "Co", "Tc", "Tc"], "frac_coords": [[0.000, 0.000, 0.000], [0.500, 0.500, 0.777], [0.000, 0.000, 0.534], [0.500, 0.500, 0.259]], "spacegroup": "No. 25", "n_ef_per_ev_fu": 4.5, "formation_energy_ev_per_fu": 0.52, "total_magnetization_mub_per_fu": 0.00}